Material: K2RbCrO4
Method: DFT, PBE with a Hubbard U
State: relaxed

```
8
Lattice="-2.455 4.176 4.285 -5.472 -3.304 -0.990 4.878 -2.800 1.180" Properties=species:S:1:pos:R:3 pbc="T T T"
K -0.723 0.786 3.700
K -2.231 -2.954 1.063
Rb 0.010 -0.025 0.030
Cr 0.904 -2.335 2.794
O -0.644 -1.575 2.602
O -4.227 -1.248 1.459
O -3.292 1.070 3.094
O 1.976 -1.864 1.513
```

As for the size of the total moment: 0.125 μB per atom. The space group is No. 42. The value obtained for the final energy is -5.43 eV/atom.